A plane-wave DFT calculation with PBE-GGA was carried out for Si2RuI after structural relaxation. Values from VASP.

Computed properties:
V	211	Å³ per cell
formation energy without anion corrections	0.36	eV/atom
SG	I-42d
ρ	4473	kg/m3
D(E_F)	4.72	states/eV per cell

Quantum ESPRESSO input file:
```
&SYSTEM
  ibrav = 0, nat = 8, ntyp = 3
/
ATOMIC_SPECIES
I 126.90 I.upf
Ru 101.07 Ru.upf
Si 28.09 Si.upf
ATOMIC_POSITIONS crystal
I 0.000 0.000 0.000
I 0.750 0.250 0.500
Ru 0.500 0.500 0.000
Ru 0.250 0.750 0.500
Si 0.516 0.125 0.250
Si 0.234 0.625 0.250
Si 0.375 0.484 0.750
Si 0.875 0.766 0.750
CELL_PARAMETERS angstrom
5.990 0.000 0.000
0.000 5.990 0.000
2.995 2.995 5.880
```

---

A plane-wave DFT calculation with PBE-GGA was carried out for SiRu2I after structural relaxation. Values from VASP.

Computed properties:
V	64	Å³ per cell
formation energy without anion corrections	0.59	eV/atom
SG	Fm-3m
ρ	9253	kg/m3
D(E_F)	3.49	states/eV per cell

Quantum ESPRESSO input file:
```
&SYSTEM
  ibrav = 0, nat = 4, ntyp = 3
/
ATOMIC_SPECIES
I 126.90 I.upf
Ru 101.07 Ru.upf
Si 28.09 Si.upf
ATOMIC_POSITIONS crystal
I 0.500 0.500 0.500
Ru 0.250 0.250 0.250
Ru 0.750 0.750 0.750
Si 0.000 0.000 0.000
CELL_PARAMETERS angstrom
-0.365 -0.305 4.467
1.464 3.352 2.607
-2.943 2.587 2.195
```

---

A plane-wave DFT calculation with PBE-GGA was carried out for SiRuI2 after structural relaxation. Values from VASP.

Computed properties:
V	254	Å³ per cell
formation energy without anion corrections	0.94	eV/atom
SG	I-42d
ρ	5013	kg/m3
D(E_F)	9.73	states/eV per cell

Quantum ESPRESSO input file:
```
&SYSTEM
  ibrav = 0, nat = 8, ntyp = 3
/
ATOMIC_SPECIES
I 126.90 I.upf
Ru 101.07 Ru.upf
Si 28.09 Si.upf
ATOMIC_POSITIONS crystal
I 0.671 0.125 0.250
I 0.079 0.625 0.250
I 0.375 0.329 0.750
I 0.875 0.921 0.750
Ru 0.000 0.000 0.000
Ru 0.750 0.250 0.500
Si 0.500 0.500 0.000
Si 0.250 0.750 0.500
CELL_PARAMETERS angstrom
6.520 0.000 0.000
0.000 6.520 0.000
3.260 3.260 5.968
```

---

A plane-wave DFT calculation with PBE-GGA was carried out for Si2RuI after structural relaxation. Values from VASP.

Computed properties:
V	71	Å³ per cell
formation energy without anion corrections	1.09	eV/atom
SG	Fm-3m
ρ	6669	kg/m3
D(E_F)	3.87	states/eV per cell

Quantum ESPRESSO input file:
```
&SYSTEM
  ibrav = 0, nat = 4, ntyp = 3
/
ATOMIC_SPECIES
I 126.90 I.upf
Ru 101.07 Ru.upf
Si 28.09 Si.upf
ATOMIC_POSITIONS crystal
I 0.500 0.500 0.500
Ru 0.000 0.000 0.000
Si 0.250 0.250 0.250
Si 0.750 0.750 0.750
CELL_PARAMETERS angstrom
0.000 3.283 3.283
3.283 0.000 3.283
3.283 3.283 0.000
```

---

Number 1: uncorrected energy -5.05 eV/atom. Number 2: uncorrected energy -5.79 eV/atom. Number 3: uncorrected energy -3.51 eV/atom. Number 4: uncorrected energy -4.33 eV/atom.